Entry 1:
A relaxed LiBeCrF6 crystal. Source: the Alexandria database, functional PBE with a Hubbard U.

Output
* SG: P-31c, No. 163
* DFT total energy: -5.57 eV/atom

The structure in extended XYZ format:
```
18
Lattice="-0.6170 -2.5788 4.0739 0.2854 -2.2659 -4.2910 8.9082 -0.6517 0.9366" Properties=species:S:1:pos:R:3 pbc="T T T"
Li 4.4541 -0.3259 0.4683
Li 0.0000 0.0000 0.0000
Be 6.3650 -2.9633 1.9881
Be 2.2116 -2.5331 -1.2685
F 7.2738 -2.3175 3.3765
F 5.4703 -1.4236 1.9851
F 3.1125 -1.9503 0.1527
F 3.1063 -4.0727 -1.2655
F 5.4642 -3.5461 0.5669
F 1.0335 -3.2121 -0.1188
F 1.3247 -0.9908 -1.3424
F 3.3902 -1.7938 -2.3800
F 1.3028 -3.1789 -2.6570
F 5.1865 -3.7026 3.0996
F 7.2520 -4.5056 2.0620
F 7.5431 -2.2843 0.8383
Cr 6.6658 -2.8590 -0.8002
Cr 1.9109 -2.6374 1.5198
```

Entry 2:
A relaxed Mg2BeCrF crystal. Source: the Alexandria database, functional PBE with a Hubbard U.

Output
* SG: P4/mmm, No. 123
* DFT total energy: -3.27 eV/atom

The structure in extended XYZ format:
```
5
Lattice="4.7943 0.0000 0.0000 0.0000 4.3389 0.0000 0.0000 0.0000 4.7943" Properties=species:S:1:pos:R:3 pbc="T T T"
Cr 0.0000 2.1695 0.0000
F 2.3972 2.1695 2.3972
Mg 0.0000 0.0000 2.3972
Mg 2.3972 0.0000 0.0000
Be 0.0000 0.0000 0.0000
```

> DFT total energy of number 1 (LiBeCrF6)?

-5.57 eV/atom

> What is the DFT total energy in the second record?

-3.27 eV/atom

> Which of these has the highest DFT total energy?

Mg2BeCrF